A plane-wave DFT calculation with PBE was carried out for a relaxed LiNi2Hg crystal.

Unit cell a=4.5183 b=4.5183 c=4.5183 alpha=129.03 beta=128.94 gamma=75.04
Positions (direct):
Li1 0.0000 0.0000 0.0000
Ni1 0.2506 0.7506 0.5000
Ni2 0.4994 0.4994 0.0000
Hg1 0.7496 0.2496 0.5000

Computed properties:
* space group: Imm2 (44)
* crystal system: orthorhombic
* E_form: 0.038 eV per atom

=====

A plane-wave DFT calculation with PBE was carried out for a relaxed ZnNi2Sb crystal.

Unit cell a=3.1139 b=3.1387 c=5.9405 alpha=90.00 beta=90.00 gamma=90.00
Positions (direct):
Zn1 0.0000 0.0000 0.0000
Ni1 0.5000 0.5000 0.2253
Ni2 0.5000 0.5000 0.7747
Sb1 0.0000 0.0000 0.5000

Computed properties:
* space group: Pmmm (47)
* crystal system: orthorhombic
* ΔE_f (raw): -0.040 eV/atom

=====

| no. | total magnetic moment (μB/atom) | V (Å³ per atom) |
| --- | --- | --- |
| 1 | 0.0000 | 13.6 |
| 2 | 0.0000 | 14.5 |